# ZrPaAsO

A geometry-optimized ZrPaAsO structure (GGA-PBE, the Open Quantum Materials Database).

Cell: 4.0756 4.0756 9.1363 Å, 90.00 90.00 90.00°
Sites, in units of the cell vectors:
Zr: 0.2500 0.7500 0.0000
Zr: 0.7500 0.2500 0.0000
Pa: 0.2500 0.2500 0.3580
Pa: 0.7500 0.7500 0.6420
As: 0.2500 0.2500 0.7873
As: 0.7500 0.7500 0.2127
O: 0.2500 0.7500 0.5000
O: 0.7500 0.2500 0.5000

magnetization	1.00	μB/f.u.
crystal system	tetragonal
E_tot	-8.347	eV/atom
distance to the lowest polymorph of the same formula	0	meV per atom